4
Lattice="4.880 -1.964 0.000 4.880 1.964 0.000 -2.018 0.000 5.758" Properties=species:S:1:pos:R:3 comment="BaTc2Hg GGA-PBE relaxed" e_form_ev_per_atom=0.5118 de_polymorph_mev_per_atom=214 magmom_total_mub_per_atom=0.00 pbc="T T T"
Ba 0.000 0.000 0.000
Tc 1.068 0.000 3.406
Tc 6.673 0.000 2.352
Hg 3.870 0.000 2.879

4
Lattice="3.809 0.000 0.000 0.000 3.822 0.000 0.000 0.000 8.878" Properties=species:S:1:pos:R:3 comment="Ba2TcHg GGA-PBE relaxed" e_form_ev_per_atom=0.4429 de_polymorph_mev_per_atom=123 magmom_total_mub_per_atom=0.32 pbc="T T T"
Ba 0.000 0.000 1.988
Ba 0.000 0.000 6.890
Tc 1.905 1.911 0.000
Hg 1.905 1.911 4.439

4
Lattice="2.361 1.363 8.470 -2.361 1.363 8.470 0.000 -2.726 8.470" Properties=species:S:1:pos:R:3 comment="Ba2TcHg GGA-PBE relaxed" e_form_ev_per_atom=0.3195 de_polymorph_mev_per_atom=0 magmom_total_mub_per_atom=0.27 pbc="T T T"
Ba 0.000 0.000 0.000
Ba 0.000 0.000 4.349
Tc 0.000 0.000 10.641
Hg 0.000 0.000 19.117

4
Lattice="-2.106 2.695 5.820 2.106 -2.695 5.820 2.106 2.695 -5.820" Properties=species:S:1:pos:R:3 comment="Ba2TcHg GGA-PBE relaxed" e_form_ev_per_atom=0.4380 de_polymorph_mev_per_atom=118 magmom_total_mub_per_atom=0.36 pbc="T T T"
Ba 0.000 0.000 0.000
Ba 0.000 2.695 2.429
Tc 0.000 0.000 5.059
Hg 2.106 0.000 3.275

4
Lattice="0.000 3.522 3.522 3.522 0.000 3.522 3.522 3.522 0.000" Properties=species:S:1:pos:R:3 comment="BaTc2Hg GGA-PBE relaxed" e_form_ev_per_atom=1.0890 de_polymorph_mev_per_atom=792 magmom_total_mub_per_atom=0.03 pbc="T T T"
Ba 0.000 0.000 0.000
Tc 1.761 1.761 1.761
Tc 3.522 3.522 3.522
Hg 5.283 5.283 5.283

4
Lattice="0.000 3.501 3.501 3.501 0.000 3.501 3.501 3.501 0.000" Properties=species:S:1:pos:R:3 comment="BaTc2Hg GGA-PBE relaxed" e_form_ev_per_atom=1.2547 de_polymorph_mev_per_atom=957 magmom_total_mub_per_atom=0.96 pbc="T T T"
Ba 0.000 0.000 0.000
Tc 1.751 1.751 1.751
Tc 5.252 5.252 5.252
Hg 3.501 3.501 3.501

4
Lattice="4.135 -4.140 0.000 4.135 4.140 0.000 0.000 0.000 3.829" Properties=species:S:1:pos:R:3 comment="Ba2TcHg GGA-PBE relaxed" e_form_ev_per_atom=0.4676 de_polymorph_mev_per_atom=148 magmom_total_mub_per_atom=0.52 pbc="T T T"
Ba 2.068 2.070 0.000
Ba 2.068 -2.070 0.000
Tc 0.000 0.000 1.915
Hg 4.135 0.000 1.915

4
Lattice="4.853 0.000 0.000 0.000 2.432 6.049 0.000 -2.432 6.049" Properties=species:S:1:pos:R:3 comment="Ba2TcHg GGA-PBE relaxed" e_form_ev_per_atom=0.3529 de_polymorph_mev_per_atom=33 magmom_total_mub_per_atom=0.42 pbc="T T T"
Ba 0.000 0.000 0.000
Ba 2.427 0.000 3.485
Tc 2.427 0.000 7.185
Hg 0.000 0.000 8.500

4
Lattice="3.158 -4.779 0.000 3.158 4.779 0.000 0.000 0.000 2.829" Properties=species:S:1:pos:R:3 comment="BaTc2Hg GGA-PBE relaxed" e_form_ev_per_atom=1.2709 de_polymorph_mev_per_atom=974 magmom_total_mub_per_atom=0.00 pbc="T T T"
Ba 0.000 0.000 0.000
Tc 1.579 2.389 1.415
Tc 1.579 -2.389 1.415
Hg 3.158 0.000 0.000

4
Lattice="4.531 0.000 0.000 0.000 4.531 0.000 0.000 0.000 4.383" Properties=species:S:1:pos:R:3 comment="BaTc2Hg GGA-PBE relaxed" e_form_ev_per_atom=1.1975 de_polymorph_mev_per_atom=900 magmom_total_mub_per_atom=1.07 pbc="T T T"
Ba 0.000 0.000 0.000
Tc 0.000 2.266 2.191
Tc 2.266 0.000 2.191
Hg 2.266 2.266 0.000

4
Lattice="0.000 4.050 4.050 4.050 0.000 4.050 4.050 4.050 0.000" Properties=species:S:1:pos:R:3 comment="Ba2TcHg GGA-PBE relaxed" e_form_ev_per_atom=0.4981 de_polymorph_mev_per_atom=179 magmom_total_mub_per_atom=0.46 pbc="T T T"
Ba 2.025 2.025 2.025
Ba 6.075 6.075 6.075
Tc 0.000 0.000 0.000
Hg 4.050 4.050 4.050

4
Lattice="3.254 0.000 0.000 0.000 3.251 0.000 -0.009 0.000 8.397" Properties=species:S:1:pos:R:3 comment="BaTc2Hg GGA-PBE relaxed" e_form_ev_per_atom=0.3477 de_polymorph_mev_per_atom=50 magmom_total_mub_per_atom=0.00 pbc="T T T"
Ba 0.000 0.000 0.000
Tc -0.001 0.000 3.735
Tc 1.624 1.625 2.595
Hg 1.624 1.625 5.699

4
Lattice="1.520 0.878 10.488 -1.520 0.878 10.488 0.000 -1.756 10.488" Properties=species:S:1:pos:R:3 comment="BaTc2Hg GGA-PBE relaxed" e_form_ev_per_atom=1.2525 de_polymorph_mev_per_atom=955 magmom_total_mub_per_atom=0.40 pbc="T T T"
Ba 0.000 0.000 0.000
Tc 0.000 0.000 7.545
Tc 0.000 0.000 23.920
Hg 0.000 0.000 15.732

4
Lattice="3.196 0.000 0.000 0.000 5.061 0.000 0.000 0.000 5.366" Properties=species:S:1:pos:R:3 comment="BaTc2Hg GGA-PBE relaxed" e_form_ev_per_atom=1.1519 de_polymorph_mev_per_atom=855 magmom_total_mub_per_atom=0.66 pbc="T T T"
Ba 0.000 0.000 0.000
Tc 0.000 2.531 2.683
Tc 1.598 2.531 0.000
Hg 1.598 0.000 2.683

4
Lattice="-1.905 2.379 5.951 1.905 -2.379 5.951 1.905 2.379 -5.951" Properties=species:S:1:pos:R:3 comment="BaTc2Hg GGA-PBE relaxed" e_form_ev_per_atom=0.6122 de_polymorph_mev_per_atom=315 magmom_total_mub_per_atom=0.00 pbc="T T T"
Ba 0.000 0.000 0.000
Tc 0.000 0.000 7.505
Tc 0.000 2.379 2.868
Hg 1.905 0.000 3.149

4
Lattice="2.994 0.000 0.000 0.000 2.994 0.000 0.000 0.000 9.538" Properties=species:S:1:pos:R:3 comment="BaTc2Hg GGA-PBE relaxed" e_form_ev_per_atom=1.1913 de_polymorph_mev_per_atom=894 magmom_total_mub_per_atom=0.48 pbc="T T T"
Ba 0.000 0.000 0.000
Tc 1.497 1.497 2.744
Tc 1.497 1.497 6.794
Hg 0.000 0.000 4.769

4
Lattice="-2.265 2.265 4.421 2.265 -2.265 4.421 2.265 2.265 -4.421" Properties=species:S:1:pos:R:3 comment="BaTc2Hg GGA-PBE relaxed" e_form_ev_per_atom=1.2419 de_polymorph_mev_per_atom=945 magmom_total_mub_per_atom=1.10 pbc="T T T"
Ba 0.000 0.000 0.000
Tc 2.265 0.000 2.211
Tc 0.000 2.265 2.211
Hg 0.000 0.000 4.421

8
Lattice="-4.090 4.090 2.999 4.090 -4.090 2.999 4.090 4.090 -2.999" Properties=species:S:1:pos:R:3 comment="BaTc2Hg GGA-PBE relaxed" e_form_ev_per_atom=1.3934 de_polymorph_mev_per_atom=1096 magmom_total_mub_per_atom=1.00 pbc="T T T"
Ba 0.000 0.000 0.000
Ba 0.000 4.090 1.499
Tc 2.045 2.373 -0.750
Tc 5.808 2.045 0.750
Tc 2.045 1.717 2.249
Tc -1.717 2.045 3.749
Hg 4.090 0.000 1.499
Hg 0.000 0.000 2.999

4
Lattice="3.104 -5.064 0.000 3.104 5.064 0.000 -1.392 0.000 2.721" Properties=species:S:1:pos:R:3 comment="BaTc2Hg GGA-PBE relaxed" e_form_ev_per_atom=1.1457 de_polymorph_mev_per_atom=848 magmom_total_mub_per_atom=0.58 pbc="T T T"
Ba 0.000 0.000 0.000
Tc 0.856 2.532 1.360
Tc 0.856 -2.532 1.360
Hg 3.104 0.000 0.000

8
Lattice="-5.684 5.684 2.714 5.684 -5.684 2.714 5.684 5.684 -2.714" Properties=species:S:1:pos:R:3 comment="Ba2TcHg GGA-PBE relaxed" e_form_ev_per_atom=0.4668 de_polymorph_mev_per_atom=147 magmom_total_mub_per_atom=0.00 pbc="T T T"
Ba 0.421 2.842 0.678
Ba -2.842 5.262 2.035
Ba -0.421 8.526 0.678
Ba 2.842 6.105 2.035
Tc 0.000 0.000 0.000
Tc 0.000 5.684 1.357
Hg 5.684 0.000 1.357
Hg 0.000 0.000 2.714

4
Lattice="4.097 -1.827 0.000 4.097 1.827 0.000 -1.452 0.000 9.419" Properties=species:S:1:pos:R:3 comment="Ba2TcHg GGA-PBE relaxed" e_form_ev_per_atom=0.5855 de_polymorph_mev_per_atom=266 magmom_total_mub_per_atom=0.40 pbc="T T T"
Ba 1.701 0.000 2.055
Ba 5.041 0.000 7.363
Tc 4.097 0.000 0.000
Hg -0.726 0.000 4.709

4
Lattice="1.944 1.122 10.144 -1.944 1.122 10.144 0.000 -2.244 10.144" Properties=species:S:1:pos:R:3 comment="Ba2TcHg GGA-PBE relaxed" e_form_ev_per_atom=0.6090 de_polymorph_mev_per_atom=290 magmom_total_mub_per_atom=0.00 pbc="T T T"
Ba 0.000 0.000 7.268
Ba 0.000 0.000 23.164
Tc 0.000 0.000 15.216
Hg 0.000 0.000 0.000

6
Lattice="0.000 5.030 5.030 5.030 0.000 5.030 5.030 5.030 0.000" Properties=species:S:1:pos:R:3 comment="Ba4TcHg GGA-PBE relaxed" e_form_ev_per_atom=0.9826 magmom_total_mub_per_atom=0.31 pbc="T T T"
Ba 1.262 1.262 1.262
Ba 3.768 3.768 1.262
Ba 3.768 1.262 3.768
Ba 1.262 3.768 3.768
Tc 5.030 5.030 5.030
Hg 7.545 7.545 7.545

4
Lattice="0.000 3.895 3.895 3.895 0.000 3.895 3.895 3.895 0.000" Properties=species:S:1:pos:R:3 comment="Ba2TcHg GGA-PBE relaxed" e_form_ev_per_atom=0.6255 de_polymorph_mev_per_atom=306 magmom_total_mub_per_atom=0.57 pbc="T T T"
Ba 0.000 0.000 0.000
Ba 1.947 1.947 1.947
Tc 3.895 3.895 3.895
Hg 5.842 5.842 5.842

5
Lattice="5.171 0.000 0.000 0.000 5.171 0.000 0.000 0.000 5.842" Properties=species:S:1:pos:R:3 comment="BaTiTc2Hg GGA-PBE relaxed" e_form_ev_per_atom=2.0213 magmom_total_mub_per_atom=1.09 pbc="T T T"
Ba 0.000 0.000 0.000
Ti 2.586 2.586 0.000
Tc 0.000 2.586 2.921
Tc 2.586 0.000 2.921
Hg 0.000 0.000 2.921

8
Lattice="-4.562 4.562 4.445 4.562 -4.562 4.445 4.562 4.562 -4.445" Properties=species:S:1:pos:R:3 comment="Ba2HgTe GGA-PBE relaxed" de_polymorph_mev_per_atom=168 magmom_total_mub_per_atom=0.00 e_form_raw_ev_per_atom=-0.86 pbc="T T T"
Ba 6.843 2.255 -1.111
Ba 2.255 2.281 1.111
Ba -2.281 2.306 3.333
Ba 2.306 2.281 5.556
Hg 4.562 0.000 2.222
Hg 0.000 0.000 4.445
Te 0.000 0.000 0.000
Te 0.000 4.562 2.222

3
Lattice="-2.308 2.308 5.223 2.308 -2.308 5.223 2.308 2.308 -5.223" Properties=species:S:1:pos:R:3 comment="BaHgTe GGA-PBE relaxed" de_polymorph_mev_per_atom=23 magmom_total_mub_per_atom=0.00 e_form_raw_ev_per_atom=-0.99 pbc="T T T"
Ba 0.000 0.000 0.000
Hg 0.000 0.000 3.361
Te 0.000 0.000 6.786

5
Lattice="-2.318 2.318 8.517 2.318 -2.318 8.517 2.318 2.318 -8.517" Properties=species:S:1:pos:R:3 comment="BaHg2Te2 GGA-PBE relaxed" de_polymorph_mev_per_atom=0 magmom_total_mub_per_atom=0.00 e_form_raw_ev_per_atom=-0.66 pbc="T T T"
Ba 0.000 0.000 0.000
Hg 2.318 0.000 4.259
Hg 0.000 2.318 4.259
Te 0.000 0.000 7.060
Te 0.000 0.000 9.974

4
Lattice="2.434 1.405 8.687 -2.434 1.405 8.687 0.000 -2.810 8.687" Properties=species:S:1:pos:R:3 comment="Ba2HgTe GGA-PBE relaxed" de_polymorph_mev_per_atom=16 magmom_total_mub_per_atom=0.18 e_form_raw_ev_per_atom=-1.01 pbc="T T T"
Ba 0.000 0.000 6.420
Ba 0.000 0.000 19.641
Hg 0.000 0.000 0.000
Te 0.000 0.000 13.031